Computed, not measured: a relaxed structure of Tb2NdF at the GGA-PBE level of DFT.

Computed properties:
Mass density (kg/m³): 7360
SG: R-3m
Uncorrected formation energy (eV per atom): -0.903
Raw total energy (eV/atom): -4.88

```
12
Lattice="3.6469 0.0000 0.0000 -1.8235 3.1583 0.0000 0.0000 0.0000 28.2725" Properties=species:S:1:pos:R:3 pbc="T T T"
Tb 0.0000 0.0000 3.3584
Tb 0.0000 0.0000 24.9141
Tb 0.0000 2.1055 15.4900
Tb 0.0000 2.1055 22.2068
Tb 1.8235 1.0528 6.0658
Tb 1.8235 1.0528 12.7826
Nd 0.0000 0.0000 0.0000
Nd 0.0000 2.1055 18.8484
Nd 1.8235 1.0528 9.4242
F 0.0000 0.0000 14.1363
F 0.0000 2.1055 4.7121
F 1.8235 1.0528 23.5604
```

Computed, not measured: a relaxed structure of TbNd2F11 at the GGA-PBE level of DFT.

Computed properties:
Mass density (kg/m³): 4206
SG: Ibam
Uncorrected formation energy (eV per atom): -3.411
Raw total energy (eV/atom): -5.89

```
28
Lattice="-4.3510 5.2348 5.6884 4.3510 -5.2348 5.6884 4.3510 5.2348 -5.6884" Properties=species:S:1:pos:R:3 pbc="T T T"
Tb 0.0000 0.0000 2.8442
Tb 0.0000 0.0000 8.5327
Nd 5.7769 1.9964 0.0000
Nd 1.4258 3.2384 0.0000
Nd 2.9252 1.9964 5.6884
Nd -1.4258 3.2384 5.6884
F 4.3510 0.0000 0.0000
F 5.2219 -3.4671 4.0139
F 1.7115 -0.7650 1.5239
F 5.2219 3.4671 -1.6746
F 3.4237 1.9667 0.0000
F 6.9906 0.7650 1.5239
F 2.6395 4.4699 -1.5239
F 3.4237 -1.9667 5.6884
F 0.8709 1.7678 1.6746
F 1.7115 0.7650 4.1646
F 5.2219 3.4671 1.6746
F 0.0000 5.2348 0.0000
F -0.8709 1.7678 4.0139
F 2.6395 4.4699 1.5239
F 3.4802 3.4671 4.0139
F 0.9274 7.2016 0.0000
F 1.7115 0.7650 7.2123
F -2.6395 4.4699 4.1646
F 0.9274 3.2681 5.6884
F -0.8709 1.7678 7.3630
F 2.6395 5.9998 4.1646
F -0.8709 8.7019 1.6746
```

Computed, not measured: a relaxed structure of Nd4Te5F2 at the GGA-PBE level of DFT.

Computed properties:
Mass density (kg/m³): 6008
SG: C2/m
Uncorrected formation energy (eV per atom): -1.903
Raw total energy (eV/atom): -5.41

```
11
Lattice="9.4761 -2.1971 0.0000 9.4761 2.1971 0.0000 -1.4909 0.0000 8.3163" Properties=species:S:1:pos:R:3 pbc="T T T"
Nd 0.1515 0.0000 2.0686
Nd 4.3637 0.0000 6.5407
Nd 13.0977 0.0000 1.7756
Nd 17.3099 0.0000 6.2477
Te 1.3266 0.0000 7.8489
Te 2.6026 0.0000 3.8047
Te 8.7307 0.0000 4.1582
Te 14.8589 0.0000 4.5117
Te 16.1349 0.0000 0.4675
F 7.0465 0.0000 6.9197
F 10.4150 0.0000 1.3967
```

Computed, not measured: a relaxed structure of Nd2TeF at the GGA-PBE level of DFT.

Computed properties:
Mass density (kg/m³): 7206
SG: R-3m
Uncorrected formation energy (eV per atom): -1.751
Raw total energy (eV/atom): -5.39

```
12
Lattice="4.0285 0.0000 0.0000 -2.0143 3.4888 0.0000 0.0000 0.0000 21.4015" Properties=species:S:1:pos:R:3 pbc="T T T"
Nd 0.0000 0.0000 4.9718
Nd 0.0000 0.0000 16.4296
Nd 0.0000 2.3259 9.2958
Nd 0.0000 2.3259 19.2395
Nd 2.0143 1.1629 2.1620
Nd 2.0143 1.1629 12.1057
Te 0.0000 0.0000 0.0000
Te 0.0000 2.3259 14.2677
Te 2.0143 1.1629 7.1338
F 0.0000 0.0000 10.7007
F 0.0000 2.3259 3.5669
F 2.0143 1.1629 17.8346
```

Computed, not measured: a relaxed structure of Nd2Te3F at the GGA-PBE level of DFT.

Computed properties:
Mass density (kg/m³): 6742
SG: Pnma
Uncorrected formation energy (eV per atom): -1.825
Raw total energy (eV/atom): -5.30

```
24
Lattice="11.9975 0.0000 0.0000 0.0000 4.2773 0.0000 0.0000 0.0000 13.2511" Properties=species:S:1:pos:R:3 pbc="T T T"
Nd 0.6868 1.0693 2.2952
Nd 2.3451 1.0693 6.8720
Nd 3.6537 3.2080 0.2464
Nd 5.3120 3.2080 8.9208
Nd 6.6855 1.0693 4.3303
Nd 8.3438 1.0693 13.0047
Nd 9.6525 3.2080 6.3791
Nd 11.3108 3.2080 10.9559
Te 0.7931 3.2080 4.9956
Te 1.4646 1.0693 12.3490
Te 2.0412 3.2080 9.2100
Te 3.9575 1.0693 2.5845
Te 4.5341 3.2080 5.7235
Te 5.2056 1.0693 11.6211
Te 6.7919 3.2080 1.6300
Te 7.4634 1.0693 7.5276
Te 8.0400 3.2080 10.6666
Te 9.9563 1.0693 4.0411
Te 10.5329 3.2080 0.9021
Te 11.2044 1.0693 8.2555
F 1.6301 3.2080 1.6907
F 4.3686 1.0693 8.3163
F 7.6289 3.2080 4.9348
F 10.3674 1.0693 11.5604
```

Computed, not measured: a relaxed structure of Nd2Te2F at the GGA-PBE level of DFT.

Computed properties:
Mass density (kg/m³): 5884
SG: I4_1/amd
Uncorrected formation energy (eV per atom): -1.953
Raw total energy (eV/atom): -5.49

```
10
Lattice="-2.1414 2.1414 17.3131 2.1414 -2.1414 17.3131 2.1414 2.1414 -17.3131" Properties=species:S:1:pos:R:3 pbc="T T T"
Nd 2.1414 1.0707 -5.5712
Nd 0.0000 1.0707 3.0853
Nd 2.1414 1.0707 14.2278
Nd 0.0000 1.0707 22.8843
Te 2.1414 1.0707 -1.9583
Te 0.0000 1.0707 6.6982
Te 2.1414 1.0707 10.6149
Te 0.0000 1.0707 19.2714
F 2.1414 -1.0707 12.9848
F 0.0000 3.2121 4.3283
```

Computed, not measured: a relaxed structure of Nd2ThF11 at the GGA-PBE level of DFT.

Computed properties:
Mass density (kg/m³): 4535
SG: Ibam
Uncorrected formation energy (eV per atom): -3.769
Raw total energy (eV/atom): -6.45

```
28
Lattice="-4.3447 5.2984 5.8018 4.3447 -5.2984 5.8018 4.3447 5.2984 -5.8018" Properties=species:S:1:pos:R:3 pbc="T T T"
Nd 1.4065 2.0182 0.0000
Nd 5.7512 3.2802 0.0000
Nd -1.4065 2.0182 5.8018
Nd 2.9382 3.2802 5.8018
Th 4.3447 0.0000 2.9009
Th 0.0000 5.2984 2.9009
F 0.0000 0.0000 0.0000
F 5.1966 1.7903 -1.6540
F 6.0948 -0.8184 1.5644
F 3.3979 -3.3253 5.8018
F 5.1966 -1.7903 4.1478
F 2.5946 0.8184 1.5644
F 2.5946 -0.8184 4.2374
F 5.1966 1.7903 1.6540
F 3.3979 3.3253 0.0000
F 1.7501 6.1168 -1.5644
F 0.8518 3.5080 1.6540
F 0.0000 0.0000 5.8018
F 3.4929 1.7903 4.1478
F 2.5946 -0.8184 7.3662
F 0.9468 1.9731 5.8018
F -0.8518 3.5080 4.1478
F 1.7501 6.1168 1.5644
F 1.7501 4.4799 4.2374
F -0.8518 7.0887 1.6540
F 0.9468 8.6237 0.0000
F -1.7501 6.1168 4.2374
F -0.8518 3.5080 7.4557
```

Computed, not measured: a relaxed structure of Nd2ThF at the GGA-PBE level of DFT.

Computed properties:
Mass density (kg/m³): 8461
SG: R-3m
Uncorrected formation energy (eV per atom): -1.161
Raw total energy (eV/atom): -5.87

```
12
Lattice="3.7139 0.0000 0.0000 -1.8569 3.2163 0.0000 0.0000 0.0000 26.5926" Properties=species:S:1:pos:R:3 pbc="T T T"
Nd 0.0000 0.0000 6.0882
Nd 0.0000 0.0000 20.5044
Nd 0.0000 2.1442 11.6402
Nd 0.0000 2.1442 23.8166
Nd 1.8569 1.0721 2.7760
Nd 1.8569 1.0721 14.9524
Th 0.0000 0.0000 0.0000
Th 0.0000 2.1442 17.7284
Th 1.8569 1.0721 8.8642
F 0.0000 0.0000 13.2963
F 0.0000 2.1442 4.4321
F 1.8569 1.0721 22.1605
```

Computed, not measured: a relaxed structure of NdThF at the GGA-PBE level of DFT.

Computed properties:
Mass density (kg/m³): 8630
SG: C2/m
Uncorrected formation energy (eV per atom): -1.510
Raw total energy (eV/atom): -6.20

```
12
Lattice="5.0342 0.0000 0.0000 0.0000 5.0301 0.0000 -2.2484 0.0000 12.0142" Properties=species:S:1:pos:R:3 pbc="T T T"
Nd 0.1461 0.0000 2.0926
Nd 0.1226 2.5150 9.9216
Nd 2.6632 2.5150 2.0926
Nd 2.6397 0.0000 9.9216
Th 0.1396 2.5150 4.7379
Th 0.1290 0.0000 7.2763
Th 2.6568 0.0000 4.7379
Th 2.6462 2.5150 7.2763
F 0.1411 2.5150 1.7662
F 0.1276 0.0000 10.2480
F 2.6582 0.0000 1.7662
F 2.6447 2.5150 10.2480
```

Computed, not measured: a relaxed structure of Nd2TlF at the GGA-PBE level of DFT.

Computed properties:
Mass density (kg/m³): 8938
Excess energy over the best structure of this formula in the dataset (meV/atom): 220
SG: P4/mmm
Uncorrected formation energy (eV per atom): -1.097
Raw total energy (eV/atom): -4.54

```
4
Lattice="3.4291 0.0000 0.0000 0.0000 3.4291 0.0000 0.0000 0.0000 8.0868" Properties=species:S:1:pos:R:3 pbc="T T T"
Nd 0.0000 0.0000 1.8323
Nd 0.0000 0.0000 6.2545
Tl 1.7146 1.7146 4.0434
F 1.7146 1.7146 0.0000
```

Computed, not measured: a relaxed structure of NdTl5F8 at the GGA-PBE level of DFT.

Computed properties:
Mass density (kg/m³): 7772
SG: I-4
Uncorrected formation energy (eV per atom): -2.408
Raw total energy (eV/atom): -4.66

```
14
Lattice="-3.9964 3.9964 4.4086 3.9964 -3.9964 4.4086 3.9964 3.9964 -4.4086" Properties=species:S:1:pos:R:3 pbc="T T T"
Nd 0.0000 0.0000 0.0000
Tl 1.8868 -0.8422 3.2674
Tl 3.1541 2.1095 1.1412
Tl 2.1095 4.8386 -1.1412
Tl 0.0000 3.9964 2.2043
Tl 0.8422 1.8868 5.5498
F 2.2108 -0.5789 0.7356
F 3.5231 2.6654 -2.4434
F 5.7819 0.5789 0.7356
F 4.5752 -1.7855 3.6730
F 0.4732 1.3309 1.9652
F 3.4175 1.7855 3.6730
F 1.3309 -0.4732 6.8520
F 2.6654 4.4696 2.4434
```

Computed, not measured: a relaxed structure of NdTl2F8 at the GGA-PBE level of DFT.

Computed properties:
Mass density (kg/m³): 5665
SG: P-3
Uncorrected formation energy (eV per atom): -2.493
Raw total energy (eV/atom): -4.72

```
11
Lattice="7.2720 0.0000 0.0000 -3.6360 6.2977 0.0000 0.0000 0.0000 4.5122" Properties=species:S:1:pos:R:3 pbc="T T T"
Nd 0.0000 0.0000 0.0000
Tl 0.0000 4.1985 3.2707
Tl 3.6360 2.0992 1.2415
F -0.0103 1.9707 3.3366
F -1.9242 5.3213 3.3366
F 1.7015 0.9942 1.1756
F 0.0000 4.1985 1.0265
F 3.6360 2.0992 3.4857
F 1.9345 5.3035 3.3366
F 5.5602 0.9765 1.1756
F 3.6463 4.3271 1.1756
```